Entry P
# K2Mg2Tl, relaxed, DFT PBE-GGA
# Crystal system: tetragonal
# N(E_F) in states/eV per cell: 8.78
data_K2Mg2Tl
_chemical_formula_sum 'K4 Mg4 Tl2'
_cell_length_a 4.210
_cell_length_b 4.210
_cell_length_c 22.683
_cell_angle_alpha 90.00
_cell_angle_beta 90.00
_cell_angle_gamma 90.00
_space_group_name_H-M_alt 'I 4/m m m'
_space_group_IT_number 139
_space_group_name_Hall '-I 4 2'
loop_
_atom_site_label
_atom_site_fract_x
_atom_site_fract_y
_atom_site_fract_z
K1 0.000 0.000 0.102
Mg1 0.000 0.500 0.250
Tl1 0.000 0.000 0.500

=====

Entry Q
# K2Mg2Tl, relaxed, DFT PBE-GGA
# Crystal system: tetragonal
# N(E_F) in states/eV per cell: 4.68
data_K2Mg2Tl
_chemical_formula_sum 'K4 Mg4 Tl2'
_cell_length_a 7.740
_cell_length_b 7.740
_cell_length_c 6.231
_cell_angle_alpha 90.00
_cell_angle_beta 90.00
_cell_angle_gamma 90.00
_space_group_name_H-M_alt 'P 4/m b m'
_space_group_IT_number 127
_space_group_name_Hall '-P 4 2ab'
loop_
_atom_site_label
_atom_site_fract_x
_atom_site_fract_y
_atom_site_fract_z
K1 0.181 0.319 0.000
Mg1 0.144 0.644 0.500
Tl1 0.000 0.000 0.500

=====

The most stable arrangement is entry Q, and the next structure is 84 meV per atom less stable.